Record 1
Nd2Si4GePt3: optimized geometry, PBE-GGA.

The structure in CIF format:
```
data_Nd2Si4GePt3
_symmetry_space_group_name_H-M 'P -4 m 2'
_symmetry_Int_Tables_number 115
_cell_length_a 4.329
_cell_length_b 4.329
_cell_length_c 9.765
_cell_angle_alpha 90.00
_cell_angle_beta 90.00
_cell_angle_gamma 90.00
loop_
_symmetry_equiv_pos_as_xyz
'x,y,z'
'y,-x,-z'
'-x,-y,z'
'-y,x,-z'
'-x,y,z'
'-y,-x,-z'
'x,-y,z'
'y,x,-z'
loop_
_atom_site_label
_atom_site_type_symbol
_atom_site_fract_x
_atom_site_fract_y
_atom_site_fract_z
_atom_site_occupancy
Nd1 Nd 0.000 0.500 0.246 1
Si1 Si 0.000 0.000 0.000 1
Si2 Si 0.000 0.500 0.636 1
Si3 Si 0.500 0.500 0.000 1
Ge1 Ge 0.000 0.000 0.500 1
Pt1 Pt 0.000 0.500 0.882 1
Pt2 Pt 0.500 0.500 0.500 1
```

Summary:
Its density of states at the Fermi level is 0.29 states/eV/atom. As for the raw total energy: -6.35 eV/atom. As for the crystal system: tetragonal. The formation energy (no corrections) comes out at -953 meV/atom.

Record 2
Nd4SeS2N: optimized geometry, PBE-GGA.

The structure in CIF format:
```
data_Nd4SeS2N
_symmetry_space_group_name_H-M 'I -4 2 m'
_symmetry_Int_Tables_number 121
_symmetry_space_group_name_Hall 'I -4 2'
_cell_length_a 7.352
_cell_length_b 7.352
_cell_length_c 7.761
_cell_angle_alpha 90.00
_cell_angle_beta 90.00
_cell_angle_gamma 90.00
loop_
_atom_site_label
_atom_site_type_symbol
_atom_site_fract_x
_atom_site_fract_y
_atom_site_fract_z
_atom_site_occupancy
Nd1 Nd 0.186 0.186 0.168 1
Se1 Se 0.000 0.000 0.500 1
S1 S 0.000 0.500 0.250 1
N1 N 0.000 0.000 0.000 1
```

Summary:
Its density of states at the Fermi level is 0.89 states/eV/atom. As for the raw total energy: -6.32 eV/atom. As for the crystal system: tetragonal. The formation energy (no corrections) comes out at -1431 meV/atom.

Record 3
KTi2Bi: optimized geometry, PBE-GGA.

The structure in CIF format:
```
data_KTi2Bi
_symmetry_space_group_name_H-M 'I -4 2 d'
_symmetry_Int_Tables_number 122
_symmetry_space_group_name_Hall 'I -4 2bw'
_cell_length_a 4.927
_cell_length_b 4.927
_cell_length_c 20.738
_cell_angle_alpha 90.00
_cell_angle_beta 90.00
_cell_angle_gamma 90.00
loop_
_atom_site_label
_atom_site_type_symbol
_atom_site_fract_x
_atom_site_fract_y
_atom_site_fract_z
_atom_site_occupancy
K1 K 0.000 0.000 0.000 1
Ti1 Ti 0.008 0.250 0.625 1
Bi1 Bi 0.000 0.000 0.500 1
```

Summary:
Its density of states at the Fermi level is 1.79 states/eV/atom. As for the raw total energy: -4.55 eV/atom. The energy relative to the elements comes out at 0.643 eV per atom. As for the crystal system: tetragonal.